Tl2Ir2Cl: optimized geometry, GGA-PBE.

POSCAR file:
```
Tl2Ir2Cl
1.0
5.483 0.000 0.000
0.000 5.483 0.000
0.000 0.000 7.598
Tl Ir Cl
4 4 2
direct
0.000 0.500 0.250
0.000 0.500 0.750
0.500 0.000 0.250
0.500 0.000 0.750
0.000 0.000 0.155
0.000 0.000 0.845
0.500 0.500 0.345
0.500 0.500 0.655
0.000 0.000 0.500
0.500 0.500 0.000
```

Calculated values
DOS(E_F) = 0.8455 states/eV/atom
final energy = -4.4553 eV/atom
space group = No. 139
uncorrected formation energy = 0.405 eV/atom

TlIrCl2: optimized geometry, GGA-PBE.

POSCAR file:
```
TlIrCl2
1.0
7.083 0.000 0.000
0.000 7.083 0.000
0.000 0.000 7.083
Tl Ir Cl
4 4 8
direct
0.000 0.000 0.000
0.000 0.500 0.500
0.500 0.000 0.500
0.500 0.500 0.000
0.000 0.000 0.500
0.000 0.500 0.000
0.500 0.000 0.000
0.500 0.500 0.500
0.250 0.250 0.250
0.250 0.250 0.750
0.250 0.750 0.250
0.250 0.750 0.750
0.750 0.250 0.250
0.750 0.250 0.750
0.750 0.750 0.250
0.750 0.750 0.750
```

Calculated values
DOS(E_F) = 0.8644 states/eV/atom
final energy = -3.1036 eV/atom
space group = No. 225
uncorrected formation energy = 0.627 eV/atom